DFT (GGA+U) results for an optimized crystal structure of Zn2Ni2PbO6.

Cell lengths 5.416, 5.416, 5.336 Å; angles 99.62, 99.62, 120.21 degrees
Fractional coordinates of all 11 atoms:
Zn1 0.181 0.819 0.000
Zn2 0.819 0.181 0.000
Ni1 0.338 0.662 0.500
Ni2 0.662 0.338 0.500
Pb1 0.000 0.000 0.500
O1 0.044 0.411 0.738
O2 0.250 0.250 0.264
O3 0.411 0.044 0.738
O4 0.589 0.956 0.262
O5 0.750 0.750 0.736
O6 0.956 0.589 0.262

Properties
Energy, eV/atom: -4.7791
Total magnetization, μB per formula unit: 4.0
Space-group type: C2/m